1 | The following is a GGA-PBE calculation of a relaxed TmPd4Au2 crystal, from Alexandria.

Values from the calculation:
* symmetry: Cmmm

POSCAR file:
```
TmPd4Au2
1.0
-5.553 0.936 1.596
-1.866 -0.787 -5.492
-0.860 -7.409 1.354
Pd Tm Au
8 2 4
Cartesian
-2.286 -3.667 -0.297 Pd
-5.563 0.112 -2.921 Pd
-1.578 -5.950 -1.731 Pd
-1.148 -2.246 -2.407 Pd
-3.421 -5.089 1.813 Pd
-2.991 -1.384 1.137 Pd
-5.993 -3.592 -2.244 Pd
-1.855 0.037 -0.974 Pd
-4.354 -5.482 -0.932 Tm
-3.924 -1.778 -1.609 Tm
-2.684 -0.404 -3.918 Au
-4.734 0.554 0.023 Au
-5.164 -3.151 0.700 Au
-3.114 -4.109 -3.241 Au
```


2 | The following is a GGA-PBE calculation of a relaxed TmPd4Au2 crystal, from Alexandria.

Values from the calculation:
* symmetry: P1

POSCAR file:
```
TmPd4Au2
1.0
-6.004 1.938 0.131
-1.428 -5.642 3.509
4.626 4.783 3.191
Pd Au Tm
8 4 2
Cartesian
-4.809 -2.329 4.525 Pd
0.985 -0.355 2.295 Pd
-1.181 1.429 1.732 Pd
-2.847 2.539 3.825 Pd
-1.130 4.208 2.408 Pd
-0.670 0.724 4.415 Pd
1.268 5.236 3.502 Pd
-1.383 -1.386 1.276 Pd
-3.072 -0.243 3.401 Au
-5.212 -1.241 1.895 Au
-3.035 -3.229 2.645 Au
1.126 2.396 3.032 Au
-0.553 -1.967 4.035 Tm
-2.583 1.266 6.389 Tm
```


Which one sits at the top of the stability order? 2 does.


1 | The following is a GGA-PBE calculation of a relaxed TmPd5Au crystal, from Alexandria.

Values from the calculation:
* symmetry: P4/mmm

POSCAR file:
```
TmPd5Au
1.0
-1.259 -1.574 -3.563
3.031 -2.747 0.142
-4.587 -4.868 3.771
Pd Tm Au
5 1 1
Cartesian
0.312 -2.651 1.061 Pd
-1.833 -2.064 -0.792 Pd
-4.012 -4.377 1.000 Pd
-1.867 -4.963 2.852 Pd
0.886 -2.160 -1.710 Pd
0.000 0.000 0.000 Tm
-2.293 -2.434 1.885 Au
```


2 | The following is a GGA-PBE calculation of a relaxed TmPd5Au crystal, from Alexandria.

Values from the calculation:
* symmetry: Imma

POSCAR file:
```
TmPd5Au
1.0
6.886 0.547 0.733
2.703 6.357 0.733
3.960 2.851 6.597
Pd Tm Au
10 2 2
Cartesian
4.246 2.984 3.816 Pd
9.242 4.448 2.774 Pd
6.662 2.946 2.383 Pd
4.307 5.306 5.289 Pd
9.303 6.770 4.248 Pd
6.887 6.808 5.681 Pd
4.418 0.976 1.991 Pd
2.197 1.654 0.517 Pd
11.351 8.100 7.546 Pd
9.130 8.778 6.072 Pd
5.024 5.221 2.383 Tm
8.525 4.533 5.681 Tm
1.980 1.425 3.298 Au
0.000 0.000 0.000 Au
```


Which one sits at the top of the stability order? 2 does.


1 | The following is a GGA-PBE calculation of a relaxed Tm2Pd5Au5 crystal, from Alexandria.

Values from the calculation:
* symmetry: C2/m

POSCAR file:
```
Tm2Pd5Au5
1.0
-0.781 0.351 4.567
-3.345 -5.826 2.240
4.048 -6.901 3.586
Au Pd Tm
5 5 2
Cartesian
0.927 -11.133 8.106 Au
-0.039 -6.188 5.197 Au
-1.822 -8.422 5.064 Au
1.743 -3.954 5.330 Au
-1.005 -1.243 2.288 Au
-0.671 -2.499 4.805 Pd
1.610 -5.577 3.068 Pd
0.000 0.000 0.000 Pd
-1.688 -6.798 7.326 Pd
0.592 -9.876 5.588 Pd
0.786 -8.029 7.843 Tm
-0.864 -4.347 2.550 Tm
```


2 | The following is a GGA-PBE calculation of a relaxed Tm2Pd5Au5 crystal, from Alexandria.

Values from the calculation:
* symmetry: C2/m

POSCAR file:
```
Tm2Pd5Au5
1.0
-0.095 -3.852 -1.290
4.106 3.352 -3.910
3.696 -2.795 8.075
Pd Au Tm
5 5 2
Cartesian
6.188 -0.903 2.241 Pd
1.518 -2.393 0.634 Pd
1.293 -1.462 -2.129 Pd
6.413 -1.834 5.005 Pd
1.801 -3.324 3.393 Pd
4.515 -2.379 0.373 Au
4.788 -3.319 3.160 Au
2.919 0.024 -0.285 Au
0.000 0.000 0.000 Au
3.192 -0.916 2.503 Au
4.245 -1.424 -2.458 Tm
3.462 -1.871 5.333 Tm
```


Which one sits at the top of the stability order? 2 does.


1 | The following is a GGA-PBE calculation of a relaxed TmPd6Au crystal, from Alexandria.

Values from the calculation:
* symmetry: P4/mmm

POSCAR file:
```
TmPd6Au
1.0
4.092 0.000 0.000
0.000 5.698 -0.036
0.000 0.036 5.698
Pd Au Tm
6 1 1
Cartesian
0.000 1.467 4.249 Pd
2.046 0.018 2.849 Pd
0.000 4.286 4.232 Pd
2.046 2.849 -0.018 Pd
0.000 4.267 1.412 Pd
0.000 1.448 1.430 Pd
2.046 2.867 2.831 Au
2.046 0.000 0.000 Tm
```


2 | The following is a GGA-PBE calculation of a relaxed TmPd6Au crystal, from Alexandria.

Values from the calculation:
* symmetry: C2/m

POSCAR file:
```
TmPd6Au
1.0
-2.318 -7.062 -0.955
2.061 -4.192 -2.695
3.398 -3.390 2.477
Pd Au Tm
6 1 1
Cartesian
1.424 -9.894 -1.356 Pd
0.385 -7.793 -0.022 Pd
-0.010 -2.931 -0.986 Pd
-0.247 -8.324 -2.664 Pd
1.717 -4.751 0.183 Pd
2.756 -6.852 -1.151 Pd
-0.129 -5.627 -1.825 Au
0.000 0.000 0.000 Tm
```


Which one sits at the top of the stability order? 1 does.


1 | The following is a GGA-PBE calculation of a relaxed Tm2Pd3Au crystal, from Alexandria.

Values from the calculation:
* symmetry: I4_1/amd

POSCAR file:
```
Tm2Pd3Au
1.0
-7.784 4.691 -3.583
-0.484 -6.417 -7.350
0.885 -2.273 8.419
Pd Tm Au
12 8 4
Cartesian
0.159 -4.354 0.479 Pd
-5.996 1.970 -4.506 Pd
-2.272 -3.696 -6.428 Pd
-4.625 -4.388 -2.357 Pd
-0.933 -2.388 -1.100 Pd
-3.655 -2.056 -1.276 Pd
-6.243 -1.303 -8.256 Pd
-2.025 -0.423 -2.678 Pd
-0.733 -6.734 -0.565 Pd
-1.175 -5.597 -4.775 Pd
-0.079 -7.498 -3.122 Pd
-3.892 -5.200 -4.877 Pd
-7.224 -0.086 -5.942 Tm
-2.429 -2.976 -3.734 Tm
-7.222 2.891 -2.048 Tm
-6.358 -1.867 -1.951 Tm
-6.060 2.086 2.577 Tm
-2.408 -0.491 4.587 Tm
-2.427 0.001 0.159 Tm
-2.706 -4.445 0.059 Tm
-5.011 -1.710 -4.670 Au
-6.394 -0.069 0.481 Au
-2.372 -2.289 2.155 Au
-4.640 1.624 -1.113 Au
```


2 | The following is a GGA-PBE calculation of a relaxed Tm2Pd3Au crystal, from Alexandria.

Values from the calculation:
* symmetry: Ibam

POSCAR file:
```
Tm2Pd3Au
1.0
-6.152 3.374 -2.947
-2.568 -4.878 -0.222
2.014 1.714 7.584
Tm Pd Au
4 6 2
Cartesian
-4.908 2.592 -0.174 Tm
-3.962 -1.069 0.783 Tm
-1.798 -2.382 4.588 Tm
-2.744 1.280 3.631 Tm
-3.887 3.502 2.295 Pd
-5.171 1.063 2.184 Pd
-1.536 -0.853 2.230 Pd
-5.002 -1.971 -1.640 Pd
-2.820 -3.292 2.119 Pd
-3.718 0.468 -1.529 Pd
0.000 0.000 0.000 Au
-1.284 -2.439 -0.111 Au
```


Which one sits at the top of the stability order? 1 does.


1 | The following is a GGA-PBE calculation of a relaxed Tm3Pd5Au crystal, from Alexandria.

Values from the calculation:
* symmetry: I4/mcm

POSCAR file:
```
Tm3Pd5Au
1.0
8.209 0.000 0.000
0.000 8.209 0.000
-4.105 -4.105 5.509
Pd Tm Au
10 6 2
Cartesian
-2.483 1.622 4.030 Pd
6.588 2.483 1.478 Pd
1.622 2.483 4.030 Pd
2.483 -1.622 4.030 Pd
-1.622 -2.483 4.030 Pd
0.000 0.000 0.000 Pd
2.483 1.622 1.478 Pd
5.726 6.588 1.478 Pd
1.622 5.726 1.478 Pd
4.105 4.105 0.000 Pd
0.000 0.000 2.754 Tm
3.071 7.175 0.000 Tm
4.105 4.105 2.754 Tm
5.139 1.034 0.000 Tm
7.175 5.139 0.000 Tm
1.034 3.071 0.000 Tm
0.000 4.105 2.754 Au
4.105 0.000 2.754 Au
```


2 | The following is a GGA-PBE calculation of a relaxed Tm3Pd5Au crystal, from Alexandria.

Values from the calculation:
* symmetry: P6_3/mcm

POSCAR file:
```
Tm3Pd5Au
1.0
-3.854 -2.179 3.565
1.871 -7.657 -2.658
4.105 3.285 6.445
Tm Au Pd
6 2 10
Cartesian
-1.672 -6.618 0.944 Tm
0.470 0.601 3.141 Tm
1.653 -7.153 4.212 Tm
-0.310 -3.218 -0.036 Tm
-0.804 -3.160 3.996 Tm
2.927 -3.391 3.356 Tm
-1.927 -1.089 1.783 Au
0.000 0.000 0.000 Au
3.361 -0.363 3.411 Pd
1.434 -1.452 5.193 Pd
0.298 -8.237 2.084 Pd
1.169 -4.604 5.246 Pd
1.825 1.686 5.269 Pd
0.954 -1.948 2.106 Pd
0.689 -5.099 2.159 Pd
0.307 -5.745 -0.914 Pd
-2.290 -4.091 1.821 Pd
2.616 -4.010 0.377 Pd
```


Which one sits at the top of the stability order? 2 does.